Entry 1:
# ScInSn

A relaxed ScInSn crystal (PBE, the Alexandria database).

- SG = P3m1
- total DFT energy (no corrections) (eV/atom) = -4.58
- E above lowest polymorph (eV/atom) = 0.198
- calculated formation energy (eV/atom) = -0.2256

a b c (Å): 5.084 5.084 3.188
angles (deg): 90.00 90.00 120.00
Atoms (fractional coordinates):
Sc  0.000  0.000  0.000
In  0.333  0.667  0.497
Sn  0.667  0.333  0.503

=====

Entry 2:
# ScInSn

A relaxed ScInSn crystal (PBE, the Alexandria database).

- SG = P2_1/m
- total DFT energy (no corrections) (eV/atom) = -4.64
- E above lowest polymorph (eV/atom) = 0.139
- calculated formation energy (eV/atom) = -0.2850

a b c (Å): 3.408 4.587 9.921
angles (deg): 90.00 97.75 90.00
Atoms (fractional coordinates):
Sc  0.223  0.250  0.391
Sc  0.777  0.750  0.609
In  0.256  0.750  0.916
In  0.744  0.250  0.084
Sn  0.304  0.250  0.696
Sn  0.696  0.750  0.304

=====

Entry 3:
# Sc6InSn

A relaxed Sc6InSn crystal (PBE, the Alexandria database).

- SG = P4/mmm
- total DFT energy (no corrections) (eV/atom) = -5.95
- E above lowest polymorph (eV/atom) = 0.000
- calculated formation energy (eV/atom) = -0.3614

a b c (Å): 4.512 4.512 9.038
angles (deg): 90.00 90.00 90.00
Atoms (fractional coordinates):
Sc  0.000  0.000  0.000
Sc  0.000  0.000  0.500
Sc  0.000  0.500  0.250
Sc  0.000  0.500  0.750
Sc  0.500  0.000  0.250
Sc  0.500  0.000  0.750
In  0.500  0.500  0.000
Sn  0.500  0.500  0.500

=====

Entry 4:
# ScInSn

A relaxed ScInSn crystal (PBE, the Alexandria database).

- SG = I4mm
- total DFT energy (no corrections) (eV/atom) = -4.59
- E above lowest polymorph (eV/atom) = 0.194
- calculated formation energy (eV/atom) = -0.2297

a b c (Å): 3.651 3.651 10.856
angles (deg): 90.00 90.00 90.00
Atoms (fractional coordinates):
Sc  0.000  0.000  0.000
Sc  0.500  0.500  0.500
In  0.000  0.000  0.664
In  0.500  0.500  0.164
Sn  0.000  0.000  0.338
Sn  0.500  0.500  0.838

=====

Entry 5:
# Sc2InSn

A relaxed Sc2InSn crystal (PBE, the Alexandria database).

- SG = I-42d
- total DFT energy (no corrections) (eV/atom) = -5.03
- calculated formation energy (eV/atom) = -0.1783

a b c (Å): 7.909 7.909 6.407
angles (deg): 90.00 90.00 90.00
Atoms (fractional coordinates):
Sc  0.246  0.250  0.125
Sc  0.250  0.746  0.375
Sc  0.250  0.754  0.875
Sc  0.254  0.250  0.625
Sc  0.746  0.750  0.625
Sc  0.750  0.246  0.875
Sc  0.750  0.254  0.375
Sc  0.754  0.750  0.125
In  0.000  0.000  0.500
In  0.000  0.500  0.750
In  0.500  0.000  0.250
In  0.500  0.500  0.000
Sn  0.000  0.000  0.000
Sn  0.000  0.500  0.250
Sn  0.500  0.000  0.750
Sn  0.500  0.500  0.500

=====

Entry 6:
# ScInTcSn2

A relaxed ScInTcSn2 crystal (PBE, the Alexandria database).

- SG = P4/mmm
- total DFT energy (no corrections) (eV/atom) = -4.17
- calculated formation energy (eV/atom) = 1.3184

a b c (Å): 5.397 5.397 5.375
angles (deg): 90.00 90.00 90.00
Atoms (fractional coordinates):
Sc  0.000  0.000  0.000
In  0.000  0.000  0.500
Tc  0.500  0.500  0.000
Sn  0.000  0.500  0.500
Sn  0.500  0.000  0.500

=====

Entry 7:
# ThScInSn

A relaxed ThScInSn crystal (PBE, the Alexandria database).

- SG = F-43m
- total DFT energy (no corrections) (eV/atom) = -5.46
- calculated formation energy (eV/atom) = -0.3335

a b c (Å): 7.504 7.504 7.504
angles (deg): 90.00 90.00 90.00
Atoms (fractional coordinates):
Th  0.000  0.000  0.000
Th  0.000  0.500  0.500
Th  0.500  0.000  0.500
Th  0.500  0.500  0.000
Sc  0.000  0.000  0.500
Sc  0.000  0.500  0.000
Sc  0.500  0.000  0.000
Sc  0.500  0.500  0.500
In  0.250  0.250  0.250
In  0.250  0.750  0.750
In  0.750  0.250  0.750
In  0.750  0.750  0.250
Sn  0.250  0.250  0.750
Sn  0.250  0.750  0.250
Sn  0.750  0.250  0.250
Sn  0.750  0.750  0.750

=====

Entry 8:
# TmScInSn

A relaxed TmScInSn crystal (PBE, the Alexandria database).

- SG = F-43m
- total DFT energy (no corrections) (eV/atom) = -4.82
- calculated formation energy (eV/atom) = -0.4336

a b c (Å): 7.312 7.312 7.312
angles (deg): 90.00 90.00 90.00
Atoms (fractional coordinates):
Tm  0.000  0.000  0.000
Tm  0.000  0.500  0.500
Tm  0.500  0.000  0.500
Tm  0.500  0.500  0.000
Sc  0.000  0.000  0.500
Sc  0.000  0.500  0.000
Sc  0.500  0.000  0.000
Sc  0.500  0.500  0.500
In  0.250  0.250  0.750
In  0.250  0.750  0.250
In  0.750  0.250  0.250
In  0.750  0.750  0.750
Sn  0.250  0.250  0.250
Sn  0.250  0.750  0.750
Sn  0.750  0.250  0.750
Sn  0.750  0.750  0.250

=====

Entry 9:
# ScZnInSn

A relaxed ScZnInSn crystal (PBE, the Alexandria database).

- SG = Pmmm
- total DFT energy (no corrections) (eV/atom) = -3.91
- calculated formation energy (eV/atom) = -0.3220

a b c (Å): 4.261 4.363 4.569
angles (deg): 90.00 90.00 90.00
Atoms (fractional coordinates):
Sc  0.000  0.000  0.000
Zn  0.000  0.500  0.500
In  0.500  0.000  0.500
Sn  0.500  0.500  0.000

=====

Entry 10:
# Sr2ScIn

A relaxed Sr2ScIn crystal (PBE, the Alexandria database).

- SG = I-4m2
- total DFT energy (no corrections) (eV/atom) = -3.08
- calculated formation energy (eV/atom) = 0.0305

a b c (Å): 5.297 5.297 9.429
angles (deg): 90.00 90.00 90.00
Atoms (fractional coordinates):
Sr  0.000  0.000  0.000
Sr  0.000  0.500  0.250
Sr  0.500  0.000  0.750
Sr  0.500  0.500  0.500
Sc  0.000  0.000  0.500
Sc  0.500  0.500  0.000
In  0.000  0.500  0.750
In  0.500  0.000  0.250

=====

Entry 11:
# SrSc2In

A relaxed SrSc2In crystal (PBE, the Alexandria database).

- SG = R3m
- total DFT energy (no corrections) (eV/atom) = -4.23
- E above lowest polymorph (eV/atom) = 0.151
- calculated formation energy (eV/atom) = 0.0416

a b c (Å): 3.511 3.511 32.830
angles (deg): 90.00 90.00 120.00
Atoms (fractional coordinates):
Sr  0.000  0.000  0.000
Sr  0.333  0.667  0.667
Sr  0.667  0.333  0.333
Sc  0.000  0.000  0.236
Sc  0.000  0.000  0.493
Sc  0.333  0.667  0.160
Sc  0.333  0.667  0.903
Sc  0.667  0.333  0.570
Sc  0.667  0.333  0.827
In  0.000  0.000  0.752
In  0.333  0.667  0.419
In  0.667  0.333  0.085

=====

Entry 12:
# SrSc2In

A relaxed SrSc2In crystal (PBE, the Alexandria database).

- SG = Pmm2
- total DFT energy (no corrections) (eV/atom) = -4.34
- E above lowest polymorph (eV/atom) = 0.038
- calculated formation energy (eV/atom) = -0.0711

a b c (Å): 3.485 4.610 7.141
angles (deg): 90.00 90.00 90.00
Atoms (fractional coordinates):
Sr  0.000  0.000  0.000
Sc  0.000  0.000  0.487
Sc  0.500  0.500  0.689
In  0.500  0.500  0.275

=====

Entry 13:
# Sr2ScIn

A relaxed Sr2ScIn crystal (PBE, the Alexandria database).

- SG = P4/mmm
- total DFT energy (no corrections) (eV/atom) = -3.13
- calculated formation energy (eV/atom) = -0.0196

a b c (Å): 5.060 5.060 5.192
angles (deg): 90.00 90.00 90.00
Atoms (fractional coordinates):
Sr  0.000  0.500  0.000
Sr  0.500  0.000  0.000
Sc  0.000  0.000  0.500
In  0.500  0.500  0.500

=====

Entry 14:
# Sr3ScIn

A relaxed Sr3ScIn crystal (PBE, the Alexandria database).

- SG = Pm-3m
- total DFT energy (no corrections) (eV/atom) = -2.18
- E above lowest polymorph (eV/atom) = 0.269
- calculated formation energy (eV/atom) = 0.6439

a b c (Å): 6.267 6.267 6.267
angles (deg): 90.00 90.00 90.00
Atoms (fractional coordinates):
Sr  0.000  0.000  0.500
Sr  0.000  0.500  0.000
Sr  0.500  0.000  0.000
Sc  0.000  0.000  0.000
In  0.500  0.500  0.500

=====

Entry 15:
# SrSc2In

A relaxed SrSc2In crystal (PBE, the Alexandria database).

- SG = F-43m
- total DFT energy (no corrections) (eV/atom) = -4.24
- E above lowest polymorph (eV/atom) = 0.142
- calculated formation energy (eV/atom) = 0.0328

a b c (Å): 7.643 7.643 7.643
angles (deg): 90.00 90.00 90.00
Atoms (fractional coordinates):
Sr  0.000  0.000  0.000
Sr  0.000  0.500  0.500
Sr  0.500  0.000  0.500
Sr  0.500  0.500  0.000
Sc  0.000  0.000  0.500
Sc  0.000  0.500  0.000
Sc  0.250  0.250  0.750
Sc  0.250  0.750  0.250
Sc  0.500  0.000  0.000
Sc  0.500  0.500  0.500
Sc  0.750  0.250  0.250
Sc  0.750  0.750  0.750
In  0.250  0.250  0.250
In  0.250  0.750  0.750
In  0.750  0.250  0.750
In  0.750  0.750  0.250

=====

Entry 16:
# SrSc2In

A relaxed SrSc2In crystal (PBE, the Alexandria database).

- SG = P4/mmm
- total DFT energy (no corrections) (eV/atom) = -4.30
- E above lowest polymorph (eV/atom) = 0.076
- calculated formation energy (eV/atom) = -0.0332

a b c (Å): 3.520 3.520 9.408
angles (deg): 90.00 90.00 90.00
Atoms (fractional coordinates):
Sr  0.000  0.000  0.000
Sc  0.500  0.500  0.306
Sc  0.500  0.500  0.694
In  0.000  0.000  0.500

=====

Entry 17:
# SrSc3In

A relaxed SrSc3In crystal (PBE, the Alexandria database).

- SG = Pm-3m
- total DFT energy (no corrections) (eV/atom) = -4.35
- E above lowest polymorph (eV/atom) = 0.000
- calculated formation energy (eV/atom) = 0.3283

a b c (Å): 5.525 5.525 5.525
angles (deg): 90.00 90.00 90.00
Atoms (fractional coordinates):
Sr  0.000  0.000  0.000
Sc  0.000  0.500  0.500
Sc  0.500  0.000  0.500
Sc  0.500  0.500  0.000
In  0.500  0.500  0.500

=====

Entry 18:
# SrScIn3

A relaxed SrScIn3 crystal (PBE, the Alexandria database).

- SG = Pm-3m
- total DFT energy (no corrections) (eV/atom) = -3.24
- E above lowest polymorph (eV/atom) = 0.000
- calculated formation energy (eV/atom) = 0.0016

a b c (Å): 5.551 5.551 5.551
angles (deg): 90.00 90.00 90.00
Atoms (fractional coordinates):
Sr  0.000  0.000  0.000
Sc  0.500  0.500  0.500
In  0.000  0.500  0.500
In  0.500  0.000  0.500
In  0.500  0.500  0.000

=====

Entry 19:
# SrSc2In

A relaxed SrSc2In crystal (PBE, the Alexandria database).

- SG = R-3m
- total DFT energy (no corrections) (eV/atom) = -4.18
- E above lowest polymorph (eV/atom) = 0.197
- calculated formation energy (eV/atom) = 0.0884

a b c (Å): 3.552 3.552 32.511
angles (deg): 90.00 90.00 120.00
Atoms (fractional coordinates):
Sr  0.000  0.000  0.000
Sr  0.333  0.667  0.667
Sr  0.667  0.333  0.333
Sc  0.000  0.000  0.236
Sc  0.000  0.000  0.764
Sc  0.333  0.667  0.430
Sc  0.333  0.667  0.903
Sc  0.667  0.333  0.097
Sc  0.667  0.333  0.570
In  0.000  0.000  0.500
In  0.333  0.667  0.167
In  0.667  0.333  0.833

=====

Entry 20:
# SrSc2In

A relaxed SrSc2In crystal (PBE, the Alexandria database).

- SG = P4mm
- total DFT energy (no corrections) (eV/atom) = -4.38
- E above lowest polymorph (eV/atom) = 0.000
- calculated formation energy (eV/atom) = -0.1089

a b c (Å): 3.672 3.672 8.625
angles (deg): 90.00 90.00 90.00
Atoms (fractional coordinates):
Sr  0.000  0.000  0.000
Sc  0.000  0.000  0.465
Sc  0.500  0.500  0.676
In  0.500  0.500  0.276

=====

Entry 21:
# Sr2ScIn

A relaxed Sr2ScIn crystal (PBE, the Alexandria database).

- SG = R-3m
- total DFT energy (no corrections) (eV/atom) = -2.99
- calculated formation energy (eV/atom) = 0.1145

a b c (Å): 3.805 3.805 34.566
angles (deg): 90.00 90.00 120.00
Atoms (fractional coordinates):
Sr  0.000  0.000  0.245
Sr  0.000  0.000  0.755
Sr  0.333  0.667  0.421
Sr  0.333  0.667  0.912
Sr  0.667  0.333  0.088
Sr  0.667  0.333  0.579
Sc  0.000  0.000  0.000
Sc  0.333  0.667  0.667
Sc  0.667  0.333  0.333
In  0.000  0.000  0.500
In  0.333  0.667  0.167
In  0.667  0.333  0.833

=====

Entry 22:
# Sr3ScIn4

A relaxed Sr3ScIn4 crystal (PBE, the Alexandria database).

- SG = P4/mmm
- total DFT energy (no corrections) (eV/atom) = -3.19
- calculated formation energy (eV/atom) = -0.3992

a b c (Å): 3.853 3.853 16.439
angles (deg): 90.00 90.00 90.00
Atoms (fractional coordinates):
Sr  0.000  0.000  0.000
Sr  0.000  0.000  0.267
Sr  0.000  0.000  0.733
Sc  0.000  0.000  0.500
In  0.500  0.500  0.133
In  0.500  0.500  0.403
In  0.500  0.500  0.597
In  0.500  0.500  0.867

=====

Entry 23:
# Sr2ScIn

A relaxed Sr2ScIn crystal (PBE, the Alexandria database).

- SG = I-42d
- total DFT energy (no corrections) (eV/atom) = -2.84
- calculated formation energy (eV/atom) = 0.2694

a b c (Å): 9.275 9.275 6.768
angles (deg): 90.00 90.00 90.00
Atoms (fractional coordinates):
Sr  0.225  0.750  0.125
Sr  0.250  0.225  0.875
Sr  0.250  0.275  0.375
Sr  0.275  0.750  0.625
Sr  0.725  0.250  0.625
Sr  0.750  0.725  0.375
Sr  0.750  0.775  0.875
Sr  0.775  0.250  0.125
Sc  0.000  0.000  0.500
Sc  0.000  0.500  0.750
Sc  0.500  0.000  0.250
Sc  0.500  0.500  0.000
In  0.000  0.000  0.000
In  0.000  0.500  0.250
In  0.500  0.000  0.750
In  0.500  0.500  0.500

=====

Entry 24:
# SrSc2In

A relaxed SrSc2In crystal (PBE, the Alexandria database).

- SG = P2/m
- total DFT energy (no corrections) (eV/atom) = -4.22
- E above lowest polymorph (eV/atom) = 0.159
- calculated formation energy (eV/atom) = 0.0504

a b c (Å): 5.839 3.467 5.928
angles (deg): 90.00 109.39 90.00
Atoms (fractional coordinates):
Sr  0.000  0.000  0.000
Sc  0.000  0.500  0.500
Sc  0.500  0.000  0.500
In  0.500  0.500  0.000

=====

Entry 25:
# SrSc3In

A relaxed SrSc3In crystal (PBE, the Alexandria database).

- SG = Pm-3m
- total DFT energy (no corrections) (eV/atom) = -3.50
- E above lowest polymorph (eV/atom) = 0.853
- calculated formation energy (eV/atom) = 1.1809

a b c (Å): 5.244 5.244 5.244
angles (deg): 90.00 90.00 90.00
Atoms (fractional coordinates):
Sr  0.000  0.000  0.000
Sc  0.000  0.000  0.500
Sc  0.000  0.500  0.000
Sc  0.500  0.000  0.000
In  0.500  0.500  0.500

=====

Entry 26:
# SrSc2In3

A relaxed SrSc2In3 crystal (PBE, the Alexandria database).

- SG = P4/mmm
- total DFT energy (no corrections) (eV/atom) = -4.16
- calculated formation energy (eV/atom) = -0.4013

a b c (Å): 3.676 3.676 11.449
angles (deg): 90.00 90.00 90.00
Atoms (fractional coordinates):
Sr  0.000  0.000  0.000
Sc  0.000  0.000  0.351
Sc  0.000  0.000  0.649
In  0.500  0.500  0.202
In  0.500  0.500  0.500
In  0.500  0.500  0.798

=====

Entry 27:
# SrSc2In

A relaxed SrSc2In crystal (PBE, the Alexandria database).

- SG = P2/m
- total DFT energy (no corrections) (eV/atom) = -4.25
- E above lowest polymorph (eV/atom) = 0.126
- calculated formation energy (eV/atom) = 0.0167

a b c (Å): 3.518 5.136 6.643
angles (deg): 90.00 103.18 90.00
Atoms (fractional coordinates):
Sr  0.000  0.000  0.000
Sc  0.319  0.500  0.704
Sc  0.681  0.500  0.296
In  0.500  0.000  0.500

=====

Entry 28:
# SrSc2In

A relaxed SrSc2In crystal (PBE, the Alexandria database).

- SG = R-3m
- total DFT energy (no corrections) (eV/atom) = -4.09
- E above lowest polymorph (eV/atom) = 0.293
- calculated formation energy (eV/atom) = 0.1842

a b c (Å): 3.489 3.489 33.987
angles (deg): 90.00 90.00 120.00
Atoms (fractional coordinates):
Sr  0.000  0.000  0.000
Sr  0.333  0.667  0.667
Sr  0.667  0.333  0.333
Sc  0.000  0.000  0.099
Sc  0.000  0.000  0.901
Sc  0.333  0.667  0.568
Sc  0.333  0.667  0.766
Sc  0.667  0.333  0.234
Sc  0.667  0.333  0.432
In  0.000  0.000  0.500
In  0.333  0.667  0.167
In  0.667  0.333  0.833

=====

Entry 29:
# SrSc2In

A relaxed SrSc2In crystal (PBE, the Alexandria database).

- SG = I-4m2
- total DFT energy (no corrections) (eV/atom) = -4.26
- E above lowest polymorph (eV/atom) = 0.115
- calculated formation energy (eV/atom) = 0.0065

a b c (Å): 4.798 4.798 9.598
angles (deg): 90.00 90.00 90.00
Atoms (fractional coordinates):
Sr  0.000  0.000  0.000
Sr  0.500  0.500  0.500
Sc  0.000  0.000  0.500
Sc  0.000  0.500  0.250
Sc  0.500  0.000  0.750
Sc  0.500  0.500  0.000
In  0.000  0.500  0.750
In  0.500  0.000  0.250